Entry from the Open Quantum Materials Database: a relaxed RbHoZnTe3 crystal (PBE).

Cell and atoms, written as extended XYZ:
```
12
Lattice="9.973 -2.256 0.000 9.973 2.256 0.000 -1.844 0.000 9.341" Properties=species:S:1:pos:R:3 pbc="T T T"
Rb 2.729 0.000 0.580
Rb 15.373 0.000 8.761
Ho 2.352 0.000 5.273
Ho 15.750 0.000 4.068
Zn 8.879 0.000 2.539
Zn 9.223 0.000 6.803
Te -0.922 0.000 4.671
Te 5.301 0.000 6.037
Te 6.279 0.000 2.047
Te 9.973 0.000 0.000
Te 11.823 0.000 7.294
Te 12.801 0.000 3.305
```

Output
* energy relative to the lowest polymorph listed for this composition: 184 meV/atom
* size of the total moment: 0.000 μB/atom